First-principles (PBE-GGA) data for HgAu2I2 after structural relaxation, as listed in Alexandria via LeMat-Bulk.

Excess energy over the best structure of this formula in the dataset, eV per formula unit: 0.00
DOS(E_F), states/eV per atom: 0.00

a = 4.205 Å, b = 4.205 Å, c = 18.618 Å
α = 90.00°, β = 90.00°, γ = 90.00°
Space group I4/mmm (No. 139)
Asymmetric unit:
1 Hg 0.000 0.000 0.000
2 Au 0.000 0.500 0.250
3 I 0.000 0.000 0.361